Ba3GaCl | Alexandria via LeMat-Bulk | meta-GGA SCAN | single point on PBEsol structure; E = -146.56 eV per cell; total moment = 0.000 μB/f.u.
1.0
5.8770 0.0000 0.0000
0.0000 5.8770 0.0000
0.0000 0.0000 5.8770
Ba Ga Cl
3 1 1
direct
0.0000 0.0000 0.5000
0.0000 0.5000 0.0000
0.5000 0.0000 0.0000
0.5000 0.5000 0.5000
0.0000 0.0000 0.0000


ZnB3Ir4 | Alexandria via LeMat-Bulk | meta-GGA SCAN | single point on PBEsol structure; E = -645.36 eV per cell; total moment = 0.000 μB/f.u.
1.0
2.7865 0.0000 0.0000
0.0000 2.8149 0.0000
0.0000 0.0000 23.2711
Zn B Ir
2 6 8
direct
0.0000 0.0000 0.0000
0.5000 0.0000 0.5000
0.0000 0.0000 0.1218
0.0000 0.0000 0.8782
0.0000 0.5000 0.2396
0.0000 0.5000 0.7604
0.5000 0.0000 0.3773
0.5000 0.0000 0.6227
0.0000 0.0000 0.3074
0.0000 0.0000 0.6926
0.0000 0.5000 0.4177
0.0000 0.5000 0.5823
0.5000 0.0000 0.1964
0.5000 0.0000 0.8036
0.5000 0.5000 0.0836
0.5000 0.5000 0.9164


GeIO3 | Alexandria via LeMat-Bulk | meta-GGA SCAN | single point on PBEsol structure; E = -73.81 eV per cell; total moment = 0.001 μB/f.u.
1.0
4.1805 0.0000 0.0000
0.0000 4.1805 0.0000
0.0000 0.0000 4.1805
Ge I O
1 1 3
direct
0.0000 0.0000 0.0000
0.5000 0.5000 0.5000
0.0000 0.5000 0.5000
0.5000 0.0000 0.5000
0.5000 0.5000 0.0000


In2IBr | Alexandria via LeMat-Bulk | meta-GGA SCAN | single point on PBEsol structure; E = -124.97 eV per cell; total moment = 0.000 μB/f.u.
1.0
0.0000 3.9821 3.9821
3.9821 0.0000 3.9821
3.9821 3.9821 0.0000
In I Br
2 1 1
direct
0.2500 0.2500 0.2500
0.7500 0.7500 0.7500
0.0000 0.0000 0.0000
0.5000 0.5000 0.5000


Cs2Cd2Hg | Alexandria via LeMat-Bulk | meta-GGA SCAN | single point on PBEsol structure; E = -205.05 eV per cell; total moment = 0.005 μB/f.u.
1.0
-2.1096 2.1096 11.1124
2.1096 -2.1096 11.1124
2.1096 2.1096 -11.1124
Cs Cd Hg
2 2 1
direct
0.1062 0.1062 0.0000
0.8938 0.8938 0.0000
0.2500 0.7500 0.5000
0.7500 0.2500 0.5000
0.5000 0.5000 0.0000


GdBi2IO4 | Alexandria via LeMat-Bulk | meta-GGA SCAN | single point on PBEsol structure; E = -293.17 eV per cell; total moment = 6.991 μB/f.u.
1.0
3.9192 0.0000 0.0000
0.0000 3.9192 0.0000
0.0000 0.0000 9.4988
Gd Bi I O
1 2 1 4
direct
0.0000 0.0000 0.0000
0.5000 0.5000 0.2620
0.5000 0.5000 0.7380
0.0000 0.0000 0.5000
0.0000 0.5000 0.1465
0.0000 0.5000 0.8535
0.5000 0.0000 0.1465
0.5000 0.0000 0.8535


TmUTe4 | Alexandria via LeMat-Bulk | meta-GGA SCAN | single point on PBEsol structure; E = -309.99 eV per cell; total moment = 2.268 μB/f.u.
1.0
-2.0333 3.0081 6.8974
2.0333 -3.0081 6.8974
2.0333 3.0081 -6.8974
Tm U Te
1 1 4
direct
0.0000 0.0000 0.0000
0.2731 0.2731 0.0000
0.3873 0.6381 0.7492
0.4345 0.9345 0.5000
0.8388 0.3388 0.5000
0.8889 0.6381 0.2508


Sc2PtPb | Alexandria via LeMat-Bulk | meta-GGA SCAN | single point on PBEsol structure; E = -177.80 eV per cell; total moment = 0.000 μB/f.u.
1.0
3.0877 -1.7668 0.0000
3.0877 1.7668 0.0000
-2.0065 0.0000 8.1917
Sc Pt Pb
2 1 1
direct
0.2343 0.2343 0.2028
0.7657 0.7657 0.7972
0.5000 0.5000 0.0000
0.0000 0.0000 0.5000


Q: Number 4 is which compound?
A: In2IBr


Q: Which value of E does entry 1 give?
A: -146.56 eV per cell


Q: Look up the E of the first one.
A: -146.56 eV per cell


Q: The lowest E belongs to which entry?
A: ZnB3Ir4